Computed, not measured: crystalline K2AlCr at its relaxed geometry at the PBE level of DFT.

For the theoretical density, the calculation gives 1.85 g/cm³. The density of states at the Fermi level comes out at 2.572 states/eV per cell. The calculation puts the formation energy at 0.49 eV/atom. The value obtained for the calculated volume is 141 Å³/cell.

The structure belongs to space group P4mm (No. 99); the cell edges are 3.697, 3.697 and 10.310 Å and the angles 90.00°, 90.00° and 90.00°. Symmetry generates all atoms from K at (0.000, 0.000, 0.000), K at (0.500, 0.500, 0.399), Al at (0.000, 0.000, 0.668) and Cr at (0.500, 0.500, 0.723).